No. 1
VASP calculation (meta-GGA SCAN) on SrCa2P at its PBEsol-relaxed geometry.

DFT total energy ... -109.5 eV/cell
Calculated density ... 2.2 g/cm³
Volume ... 306 Å³ per cell

```
data_SrCa2P
_cell_length_a 6.0614
_cell_length_b 12.2916
_cell_length_c 4.1046
_cell_angle_alpha 90.00
_cell_angle_beta 90.00
_cell_angle_gamma 90.00
_space_group_name_H-M_alt 'C m m m'
_space_group_IT_number 65
_space_group_name_Hall '-C 2 2'
loop_
_atom_site_label
_atom_site_fract_x
_atom_site_fract_y
_atom_site_fract_z
_atom_site_occupancy
Sr1 0.0000 0.0000 0.0000 1
Ca1 0.0000 0.3464 0.5000 1
P1 0.0000 0.5000 0.0000 1
```

=====

No. 2
VASP calculation (meta-GGA SCAN) on MgCdF2 at its PBEsol-relaxed geometry.

DFT total energy ... -159.4 eV/cell
Calculated density ... 4.4 g/cm³
Volume ... 198 Å³ per cell

```
data_MgCdF2
_cell_length_a 3.0217
_cell_length_b 3.0217
_cell_length_c 24.9915
_cell_angle_alpha 90.00
_cell_angle_beta 90.00
_cell_angle_gamma 120.00
_space_group_name_H-M_alt 'R -3 m'
_space_group_IT_number 166
_space_group_name_Hall '-R 3 2"'
loop_
_atom_site_label
_atom_site_fract_x
_atom_site_fract_y
_atom_site_fract_z
_atom_site_occupancy
Mg1 0.0000 0.0000 0.0000 1
Cd1 0.0000 0.0000 0.5000 1
F1 0.0000 0.0000 0.3717 1
```

=====

No. 3
VASP calculation (meta-GGA SCAN) on YTaW2 at its PBEsol-relaxed geometry.

DFT total energy ... -231.3 eV/cell
Calculated density ... 14.8 g/cm³
Volume ... 72 Å³ per cell

```
data_YTaW2
_cell_length_a 3.1685
_cell_length_b 4.7467
_cell_length_c 4.7678
_cell_angle_alpha 90.00
_cell_angle_beta 90.00
_cell_angle_gamma 90.00
_space_group_name_H-M_alt 'P m m m'
_space_group_IT_number 47
loop_
_space_group_symop_operation_xyz
'x,y,z'
'-x,-y,-z'
'-x,-y,z'
'x,y,-z'
'x,-y,-z'
'-x,y,z'
'-x,y,-z'
'x,-y,z'
loop_
_atom_site_label
_atom_site_fract_x
_atom_site_fract_y
_atom_site_fract_z
_atom_site_occupancy
Y1 0.0000 0.0000 0.0000 1
Ta1 0.5000 0.0000 0.5000 1
W1 0.0000 0.5000 0.5000 1
W2 0.5000 0.5000 0.0000 1
```

=====

No. 4
VASP calculation (meta-GGA SCAN) on ReSi3Au at its PBEsol-relaxed geometry.

DFT total energy ... -167.9 eV/cell
Calculated density ... 7.8 g/cm³
Volume ... 100 Å³ per cell

```
data_ReSi3Au
_cell_length_a 4.6383
_cell_length_b 4.6383
_cell_length_c 4.6383
_cell_angle_alpha 90.00
_cell_angle_beta 90.00
_cell_angle_gamma 90.00
_space_group_name_H-M_alt 'P m -3 m'
_space_group_IT_number 221
_space_group_name_Hall '-P 4 2 3'
loop_
_atom_site_label
_atom_site_fract_x
_atom_site_fract_y
_atom_site_fract_z
_atom_site_occupancy
Re1 0.0000 0.0000 0.0000 1
Si1 0.0000 0.0000 0.5000 1
Au1 0.5000 0.5000 0.5000 1
```

=====

No. 5
VASP calculation (meta-GGA SCAN) on RbW6O18 at its PBEsol-relaxed geometry.

DFT total energy ... -1215.6 eV/cell
Calculated density ... 6.8 g/cm³
Volume ... 724 Å³ per cell

```
data_RbW6O18
_cell_length_a 7.4070
_cell_length_b 7.6106
_cell_length_c 12.8445
_cell_angle_alpha 90.00
_cell_angle_beta 90.00
_cell_angle_gamma 90.00
_space_group_name_H-M_alt 'I m m m'
_space_group_IT_number 71
_space_group_name_Hall '-I 2 2'
loop_
_atom_site_label
_atom_site_fract_x
_atom_site_fract_y
_atom_site_fract_z
_atom_site_occupancy
Rb1 0.0000 0.0000 0.0000 1
W1 0.0000 0.2495 0.5000 1
W2 0.2500 0.2500 0.2500 1
O1 0.0000 0.0000 0.5000 1
O2 0.0000 0.2351 0.2134 1
O3 0.0000 0.5000 0.5000 1
O4 0.1804 0.2523 0.3934 1
O5 0.2373 0.5000 0.2477 1
```

=====

No. 6
VASP calculation (meta-GGA SCAN) on K2MnPt at its PBEsol-relaxed geometry.

DFT total energy ... -412.3 eV/cell
Calculated density ... 5.1 g/cm³
Volume ... 429 Å³ per cell

```
data_K2MnPt
_cell_length_a 7.5419
_cell_length_b 7.5419
_cell_length_c 7.5419
_cell_angle_alpha 90.00
_cell_angle_beta 90.00
_cell_angle_gamma 90.00
_space_group_name_H-M_alt 'F m -3 m'
_space_group_IT_number 225
_space_group_name_Hall '-F 4 2 3'
loop_
_atom_site_label
_atom_site_fract_x
_atom_site_fract_y
_atom_site_fract_z
_atom_site_occupancy
K1 0.2500 0.2500 0.2500 1
Mn1 0.0000 0.0000 0.0000 1
Pt1 0.0000 0.0000 0.5000 1
```

=====

No. 7
VASP calculation (meta-GGA SCAN) on SrTe2WC at its PBEsol-relaxed geometry.

DFT total energy ... -174.2 eV/cell
Calculated density ... 8.2 g/cm³
Volume ... 109 Å³ per cell

```
data_SrTe2WC
_cell_length_a 5.1913
_cell_length_b 5.1913
_cell_length_c 4.0332
_cell_angle_alpha 90.00
_cell_angle_beta 90.00
_cell_angle_gamma 90.00
_space_group_name_H-M_alt 'P 4/m m m'
_space_group_IT_number 123
_space_group_name_Hall '-P 4 2'
loop_
_atom_site_label
_atom_site_fract_x
_atom_site_fract_y
_atom_site_fract_z
_atom_site_occupancy
Sr1 0.0000 0.0000 0.0000 1
Te1 0.0000 0.5000 0.5000 1
W1 0.5000 0.5000 0.0000 1
C1 0.5000 0.5000 0.5000 1
```

=====

No. 8
VASP calculation (meta-GGA SCAN) on CaCuSi2O6 at its PBEsol-relaxed geometry.

DFT total energy ... -871.2 eV/cell
Calculated density ... 3.5 g/cm³
Volume ... 977 Å³ per cell

```
data_CaCuSi2O6
_cell_length_a 5.4278
_cell_length_b 18.8692
_cell_length_c 9.5384
_cell_angle_alpha 90.00
_cell_angle_beta 90.00
_cell_angle_gamma 90.00
_space_group_name_H-M_alt 'P b c a'
_space_group_IT_number 61
loop_
_space_group_symop_operation_xyz
'x,y,z'
'-x,-y,-z'
'-x+1/2,-y,z+1/2'
'x+1/2,y,-z+1/2'
'x+1/2,-y+1/2,-z'
'-x+1/2,y+1/2,z'
'-x,y+1/2,-z+1/2'
'x,-y+1/2,z+1/2'
loop_
_atom_site_label
_atom_site_fract_x
_atom_site_fract_y
_atom_site_fract_z
_atom_site_occupancy
Ca1 0.0999 0.1249 0.1467 1
Cu1 0.1095 0.1247 0.5164 1
Si1 0.0996 0.7201 0.6707 1
Si2 0.2292 0.5212 0.8363 1
O1 0.0123 0.5387 0.7195 1
O2 0.0745 0.6952 0.1706 1
O3 0.1077 0.6832 0.5170 1
O4 0.1295 0.1884 0.7301 1
O5 0.1791 0.5704 0.9719 1
O6 0.2303 0.0650 0.3584 1
```

=====

No. 9
VASP calculation (meta-GGA SCAN) on CdTc2Mo at its PBEsol-relaxed geometry.

DFT total energy ... -268.3 eV/cell
Calculated density ... 10.8 g/cm³
Volume ... 125 Å³ per cell

```
data_CdTc2Mo
_cell_length_a 3.0370
_cell_length_b 4.4376
_cell_length_c 9.2487
_cell_angle_alpha 90.00
_cell_angle_beta 90.00
_cell_angle_gamma 90.00
_space_group_name_H-M_alt 'C m m 2'
_space_group_IT_number 35
loop_
_space_group_symop_operation_xyz
'x,y,z'
'-x,-y,z'
'-x,y,z'
'x,-y,z'
'x+1/2,y+1/2,z'
'-x+1/2,-y+1/2,z'
'-x+1/2,y+1/2,z'
'x+1/2,-y+1/2,z'
loop_
_atom_site_label
_atom_site_fract_x
_atom_site_fract_y
_atom_site_fract_z
_atom_site_occupancy
Cd1 0.0000 0.0000 0.0000 1
Tc1 0.0000 0.0000 0.5059 1
Tc2 0.0000 0.5000 0.7326 1
Mo1 0.0000 0.5000 0.2721 1
```

=====

No. 10
VASP calculation (meta-GGA SCAN) on BeOs2Br at its PBEsol-relaxed geometry.

DFT total energy ... -162.8 eV/cell
Calculated density ... 13.6 g/cm³
Volume ... 57 Å³ per cell

```
data_BeOs2Br
_cell_length_a 2.7493
_cell_length_b 4.3870
_cell_length_c 4.7598
_cell_angle_alpha 90.00
_cell_angle_beta 90.00
_cell_angle_gamma 90.00
_space_group_name_H-M_alt 'P m m m'
_space_group_IT_number 47
loop_
_space_group_symop_operation_xyz
'x,y,z'
'-x,-y,-z'
'-x,-y,z'
'x,y,-z'
'x,-y,-z'
'-x,y,z'
'-x,y,-z'
'x,-y,z'
loop_
_atom_site_label
_atom_site_fract_x
_atom_site_fract_y
_atom_site_fract_z
_atom_site_occupancy
Be1 0.0000 0.0000 0.0000 1
Os1 0.0000 0.5000 0.5000 1
Os2 0.5000 0.5000 0.0000 1
Br1 0.5000 0.0000 0.5000 1
```

=====

No. 11
VASP calculation (meta-GGA SCAN) on BaCo2Ag at its PBEsol-relaxed geometry.

DFT total energy ... -207.0 eV/cell
Calculated density ... 7.2 g/cm³
Volume ... 168 Å³ per cell

```
data_BaCo2Ag
_cell_length_a 3.6895
_cell_length_b 4.0507
_cell_length_c 11.2443
_cell_angle_alpha 90.00
_cell_angle_beta 90.00
_cell_angle_gamma 90.00
_space_group_name_H-M_alt 'A m m 2'
_space_group_IT_number 38
loop_
_space_group_symop_operation_xyz
'x,y,z'
'-x,-y,z'
'-x,y,z'
'x,-y,z'
'x,y+1/2,z+1/2'
'-x,-y+1/2,z+1/2'
'-x,y+1/2,z+1/2'
'x,-y+1/2,z+1/2'
loop_
_atom_site_label
_atom_site_fract_x
_atom_site_fract_y
_atom_site_fract_z
_atom_site_occupancy
Ba1 0.0000 0.0000 0.0000 1
Co1 0.0000 0.0000 0.7334 1
Co2 0.5000 0.0000 0.6346 1
Ag1 0.5000 0.0000 0.2790 1
```

=====

No. 12
VASP calculation (meta-GGA SCAN) on ScCdRu2 at its PBEsol-relaxed geometry.

DFT total energy ... -456.4 eV/cell
Calculated density ... 9.3 g/cm³
Volume ... 257 Å³ per cell

```
data_ScCdRu2
_cell_length_a 6.3579
_cell_length_b 6.3579
_cell_length_c 6.3579
_cell_angle_alpha 90.00
_cell_angle_beta 90.00
_cell_angle_gamma 90.00
_space_group_name_H-M_alt 'F -4 3 m'
_space_group_IT_number 216
_space_group_name_Hall 'F -4 2 3'
loop_
_atom_site_label
_atom_site_fract_x
_atom_site_fract_y
_atom_site_fract_z
_atom_site_occupancy
Sc1 0.0000 0.0000 0.0000 1
Cd1 0.2500 0.2500 0.2500 1
Ru1 0.0000 0.0000 0.5000 1
Ru2 0.2500 0.2500 0.7500 1
```